! PBE-GGA BaAc2Pb3, relaxed; values from VASP
&SYSTEM
  ibrav = 0, nat = 6, ntyp = 3
/
ATOMIC_SPECIES
Ba 137.33 Ba.upf
Ac 227.00 Ac.upf
Pb 207.20 Pb.upf
CELL_PARAMETERS angstrom
4.350 0.000 0.000
0.000 4.350 0.000
0.000 0.000 11.905
ATOMIC_POSITIONS angstrom
Ba 0.000 0.000 0.000
Ac 0.000 0.000 4.052
Ac 0.000 0.000 7.853
Pb 2.175 2.175 2.231
Pb 2.175 2.175 5.953
Pb 2.175 2.175 9.674
! V, A^3/atom: 37.545
! Space group: P4/mmm, No. 123
! Calculated total energy, eV per atom: -4.026
! Formation enthalpy at 0 K, eV/f.u.: -2.89
! Excess energy over the best structure of this formula in the dataset, eV/f.u.: 0.00

---

! PBE-GGA BaAc5Pb3, relaxed; values from VASP
&SYSTEM
  ibrav = 0, nat = 18, ntyp = 3
/
ATOMIC_SPECIES
Ba 137.33 Ba.upf
Ac 227.00 Ac.upf
Pb 207.20 Pb.upf
CELL_PARAMETERS angstrom
10.428 0.000 0.000
-5.214 9.031 0.000
0.000 0.000 7.396
ATOMIC_POSITIONS angstrom
Ba 0.000 0.000 0.000
Ba 0.000 0.000 3.698
Ac -1.758 3.044 1.849
Ac -3.456 5.987 5.547
Ac 0.000 6.021 0.000
Ac 0.000 6.021 3.698
Ac 3.515 0.000 1.849
Ac 1.758 3.044 5.547
Ac 6.913 0.000 5.547
Ac 3.456 5.987 1.849
Ac 5.214 3.010 0.000
Ac 5.214 3.010 3.698
Pb -1.740 3.014 5.547
Pb -3.474 6.017 1.849
Pb 3.481 0.000 5.547
Pb 1.740 3.014 1.849
Pb 6.947 0.000 1.849
Pb 3.474 6.017 5.547
! V, A^3/atom: 38.696
! Space group: P6_3/mcm, No. 193
! Calculated total energy, eV per atom: -4.090
! Formation enthalpy at 0 K, eV/f.u.: -3.22

---

! PBE-GGA BaAc2Pb9, relaxed; values from VASP
&SYSTEM
  ibrav = 0, nat = 12, ntyp = 3
/
ATOMIC_SPECIES
Ba 137.33 Ba.upf
Ac 227.00 Ac.upf
Pb 207.20 Pb.upf
CELL_PARAMETERS angstrom
5.086 0.000 0.000
0.000 5.086 0.000
0.000 0.000 15.264
ATOMIC_POSITIONS angstrom
Ba 0.000 0.000 0.000
Ac 0.000 0.000 5.122
Ac 0.000 0.000 10.142
Pb 0.000 2.543 2.576
Pb 0.000 2.543 7.632
Pb 0.000 2.543 12.689
Pb 2.543 0.000 2.576
Pb 2.543 0.000 7.632
Pb 2.543 0.000 12.689
Pb 2.543 2.543 0.000
Pb 2.543 2.543 5.090
Pb 2.543 2.543 10.174
! V, A^3/atom: 32.908
! Space group: P4/mmm, No. 123
! Calculated total energy, eV per atom: -4.020
! Formation enthalpy at 0 K, eV/f.u.: -4.72

---

! PBE-GGA BaAcPb3, relaxed; values from VASP
&SYSTEM
  ibrav = 0, nat = 20, ntyp = 3
/
ATOMIC_SPECIES
Ba 137.33 Ba.upf
Ac 227.00 Ac.upf
Pb 207.20 Pb.upf
CELL_PARAMETERS angstrom
8.620 0.000 0.000
0.000 8.633 0.000
0.000 0.000 10.068
ATOMIC_POSITIONS angstrom
Ba 1.512 1.504 0.000
Ba 2.798 5.820 5.034
Ba 5.822 2.813 5.034
Ba 7.109 7.129 0.000
Ac 1.502 1.496 5.034
Ac 2.808 5.813 0.000
Ac 5.812 2.821 0.000
Ac 7.118 7.137 5.034
Pb 0.000 4.317 2.515
Pb 0.000 4.317 7.553
Pb 1.093 7.536 2.539
Pb 1.093 7.536 7.530
Pb 3.217 3.219 2.496
Pb 3.217 3.219 7.573
Pb 4.310 0.000 2.519
Pb 4.310 0.000 7.550
Pb 5.403 5.414 2.496
Pb 5.403 5.414 7.573
Pb 7.527 1.098 2.539
Pb 7.527 1.098 7.530
! V, A^3/atom: 37.465
! Space group: Pnnm, No. 58
! Calculated total energy, eV per atom: -3.922
! Formation enthalpy at 0 K, eV/f.u.: -2.45